(1)
Na2ScCr | PBE | optimized geometry

Cell lengths 5.2413, 5.2413, 5.2413 Å; angles 60.00, 60.00, 60.00 degrees
With the nearest neighbours (Å) after each atom.
Atoms (fractional coordinates):
Sc 0.0000 0.0000 0.0000  8 Na 3.21
Cr 0.5000 0.5000 0.5000  8 Na 3.21
Na 0.2500 0.2500 0.2500  4 Cr 3.21, 4 Sc 3.21
Na 0.7500 0.7500 0.7500  4 Cr 3.21, 4 Sc 3.21

Properties
* Fermi-level density of states: 6.3 states/eV/f.u.
* excess energy over the best structure of this formula in the dataset: 0.57 eV/f.u.
* formation enthalpy at 0 K: 0.83 eV/atom

=====

(2)
CePm2Bi | PBE | optimized geometry

Cell lengths 4.1007, 4.1007, 10.1190 Å; angles 78.31, 78.31, 60.00 degrees
With the nearest neighbours (Å) after each atom.
Atoms (fractional coordinates):
Ce 0.5000 0.5000 0.5001  6 Pm 3.70, 6 Ce 4.10
Pm 0.0703 0.0703 0.7892  3 Bi 3.15
Pm 0.2631 0.2631 0.2107  3 Bi 3.15
Bi 0.6667 0.6667 0.0000  6 Pm 3.15

Properties
* Fermi-level density of states: 9.2 states/eV/f.u.
* excess energy over the best structure of this formula in the dataset: 1.08 eV/f.u.
* formation enthalpy at 0 K: -0.12 eV/atom

=====

(3)
Dy2TlRuC | PBE | optimized geometry

Cell lengths 3.9556, 5.0494, 5.0494 Å; angles 90.00, 90.00, 90.00 degrees
With the nearest neighbours (Å) after each atom.
Atoms (fractional coordinates):
Dy 0.0000 0.0000 0.5000  2 C 2.52
Dy 0.0000 0.5000 0.0000  2 C 2.52
Tl 0.5000 0.5000 0.5000  8 Dy 3.21, 4 Ru 3.57
Ru 0.5000 0.0000 0.0000  2 C 1.98
C 0.0000 0.0000 0.0000  2 Ru 1.98

Properties
* Fermi-level density of states: 3.4 states/eV/f.u.
* formation enthalpy at 0 K: -0.36 eV/atom

=====

(4)
Ba2LiCd12Ag3 | PBE | optimized geometry

Cell lengths 8.5279, 8.5279, 8.5279 Å; angles 73.81, 73.81, 73.81 degrees
With the nearest neighbours (Å) after each atom.
Atoms (fractional coordinates):
Ba 0.6163 0.6163 0.6163  6 Cd 3.37-3.65
Ba 0.3837 0.3837 0.3837  6 Cd 3.37-3.65
Li 0.0000 0.0000 0.0000  6 Cd 2.83
Cd 0.3078 0.3078 0.8391  2 Ag 2.88, 3 Cd 3.17-3.19
Cd 0.8623 0.8623 0.3362  1 Ag 2.70, 1 Li 2.83, 2 Cd 2.90
Cd 0.3362 0.8623 0.8623  1 Ag 2.70, 1 Li 2.83, 2 Cd 2.90
Cd 0.8391 0.3078 0.3078  2 Ag 2.88, 3 Cd 3.17-3.19
Cd 0.8623 0.3362 0.8623  1 Ag 2.70, 1 Li 2.83, 2 Cd 2.90
Cd 0.3078 0.8391 0.3078  2 Ag 2.88, 3 Cd 3.17-3.19
Cd 0.6922 0.6922 0.1609  2 Ag 2.88, 3 Cd 3.17-3.19
Cd 0.1377 0.1377 0.6638  1 Ag 2.70, 1 Li 2.83, 2 Cd 2.90
Cd 0.6638 0.1377 0.1377  1 Ag 2.70, 1 Li 2.83, 2 Cd 2.90
Cd 0.1609 0.6922 0.6922  2 Ag 2.88, 3 Cd 3.17-3.19
Cd 0.1377 0.6638 0.1377  1 Ag 2.70, 1 Li 2.83, 2 Cd 2.90
Cd 0.6922 0.1609 0.6922  2 Ag 2.88, 3 Cd 3.17-3.19
Ag 0.5000 0.0000 0.0000  6 Cd 2.70-2.88
Ag 0.0000 0.5000 0.0000  6 Cd 2.70-2.88
Ag 0.0000 0.0000 0.5000  6 Cd 2.70-2.88

Properties
* Fermi-level density of states: 7.1 states/eV/f.u.
* formation enthalpy at 0 K: 0.08 eV/atom

=====

(5)
MgRh2Se | PBE | optimized geometry

Cell lengths 4.4996, 4.4996, 4.4996 Å; angles 60.00, 60.00, 60.00 degrees
With the nearest neighbours (Å) after each atom.
Atoms (fractional coordinates):
Mg 0.5000 0.5000 0.5000  4 Se 2.76, 4 Rh 2.76
Rh 0.0000 0.0000 0.0000  4 Rh 2.76, 4 Se 2.76
Rh 0.2500 0.2500 0.2500  4 Mg 2.76, 4 Rh 2.76
Se 0.7500 0.7500 0.7500  4 Rh 2.76, 4 Mg 2.76

Properties
* Fermi-level density of states: 6.3 states/eV/f.u.
* formation energy (no corrections): 0.003 eV/atom

=====

(6)
Al2FeNi | PBE | optimized geometry

Cell lengths 4.0644, 4.0644, 4.0644 Å; angles 60.00, 60.00, 60.00 degrees
With the nearest neighbours (Å) after each atom.
Atoms (fractional coordinates):
Ni 0.5000 0.5000 0.5000  8 Al 2.49
Fe 0.0000 0.0000 0.0000  8 Al 2.49
Al 0.2500 0.2500 0.2500  4 Ni 2.49, 4 Fe 2.49
Al 0.7500 0.7500 0.7500  4 Ni 2.49, 4 Fe 2.49

Properties
* Fermi-level density of states: 1.5 states/eV/f.u.
* formation enthalpy at 0 K: -0.50 eV/atom